Material: LaHf2Sn2
Method: DFT, GGA-PBE
State: relaxed

Values from the calculation:
- Total DFT energy (no corrections): -7.00 eV/atom
- DFT formation energy: -431.5 meV/atom

abc: 7.431 7.431 7.431
angles: 145.23 145.23 49.99
Atoms (fractional coordinates):
La 0.000 0.000 0.000
Hf 0.250 0.750 0.500
Hf 0.750 0.250 0.500
Sn 0.393 0.393 0.000
Sn 0.607 0.607 0.000

Material: LiCoNi4
Method: DFT, GGA-PBE
State: relaxed

Values from the calculation:
- Total DFT energy (no corrections): -5.15 eV/atom
- DFT formation energy: 204.3 meV/atom

abc: 6.204 6.204 4.341
angles: 101.68 101.68 61.55
Atoms (fractional coordinates):
Li 0.211 0.211 0.121
Li 0.789 0.789 0.879
Co 0.452 0.452 0.232
Co 0.548 0.548 0.768
Ni 0.068 0.691 0.443
Ni 0.186 0.814 0.000
Ni 0.309 0.932 0.557
Ni 0.322 0.322 0.695
Ni 0.678 0.678 0.305
Ni 0.691 0.068 0.443
Ni 0.814 0.186 0.000
Ni 0.932 0.309 0.557

Material: HoPu3Hg4
Method: DFT, GGA-PBE
State: relaxed

Values from the calculation:
- Total DFT energy (no corrections): -6.29 eV/atom
- DFT formation energy: -191.2 meV/atom

abc: 3.347 3.347 18.052
angles: 90.00 90.00 90.00
Atoms (fractional coordinates):
Ho 0.000 0.000 0.000
Pu 0.000 0.000 0.245
Pu 0.000 0.000 0.500
Pu 0.000 0.000 0.755
Hg 0.500 0.500 0.117
Hg 0.500 0.500 0.373
Hg 0.500 0.500 0.627
Hg 0.500 0.500 0.883

Material: ZnRh5
Method: DFT, GGA-PBE
State: relaxed

Values from the calculation:
- Total DFT energy (no corrections): -6.42 eV/atom
- DFT formation energy: -78.6 meV/atom

abc: 2.741 2.741 11.262
angles: 90.00 90.00 90.00
Atoms (fractional coordinates):
Zn 0.000 0.000 0.000
Rh 0.000 0.000 0.331
Rh 0.000 0.000 0.669
Rh 0.500 0.500 0.164
Rh 0.500 0.500 0.500
Rh 0.500 0.500 0.836

Material: Li6CaCd2
Method: DFT, GGA-PBE
State: relaxed

Values from the calculation:
- Total DFT energy (no corrections): -1.78 eV/atom
- DFT formation energy: -76.4 meV/atom

abc: 7.644 7.644 7.644
angles: 142.24 133.54 61.34
Atoms (fractional coordinates):
Li 0.040 0.798 0.242
Li 0.197 0.000 0.197
Li 0.444 0.202 0.242
Li 0.556 0.798 0.758
Li 0.803 0.000 0.803
Li 0.960 0.202 0.758
Ca 0.500 0.500 0.000
Cd 0.112 0.612 0.500
Cd 0.888 0.388 0.500

Material: Sm4SiTe3
Method: DFT, GGA-PBE
State: relaxed

Values from the calculation:
- Total DFT energy (no corrections): -5.52 eV/atom
- Energy relative to the elements, uncorrected: -1.30 eV/atom

abc: 7.658 7.658 4.357
angles: 90.00 90.00 108.97
Atoms (fractional coordinates):
Sm 0.224 0.224 0.500
Sm 0.233 0.767 0.000
Sm 0.767 0.233 0.000
Sm 0.776 0.776 0.500
Si 0.000 0.000 0.000
Te 0.000 0.500 0.500
Te 0.500 0.000 0.500
Te 0.500 0.500 0.000

Material: BaOF3
Method: DFT, GGA-PBE
State: relaxed

Values from the calculation:
- Total DFT energy (no corrections): -4.02 eV/atom
- Energy relative to the elements, uncorrected: -1.52 eV/atom

abc: 5.058 5.058 5.058
angles: 90.00 90.00 90.00
Atoms (fractional coordinates):
Ba 0.000 0.000 0.000
O 0.500 0.500 0.500
F 0.000 0.000 0.500
F 0.000 0.500 0.000
F 0.500 0.000 0.000

Material: CdAg2Hg
Method: DFT, GGA-PBE
State: relaxed

Values from the calculation:
- Total DFT energy (no corrections): -1.71 eV/atom
- DFT formation energy: 17.1 meV/atom

abc: 5.315 5.315 5.315
angles: 134.33 131.42 68.87
Atoms (fractional coordinates):
Cd 0.000 0.000 0.000
Ag 0.250 0.750 0.500
Ag 0.750 0.250 0.500
Hg 0.500 0.500 0.000